GGA-PBE FeCu2Au, optimized geometry; energy of formation = 0.1264 eV/atom; total magnetization = 0.73 μB/atom; Fermi-level density of states = 2.8 states/eV/cell
1.0
-2.8423 -3.1954 -1.6620
-0.8167 -2.9245 -3.4397
2.0604 -3.8378 1.7629
Au Cu Fe
1 2 1
Direct
0.7500 0.7500 0.7500
0.9957 0.9957 0.0185
0.5043 0.5043 0.4815
0.2500 0.2500 0.2500